1.
Material: Ba8Ag2Hg
Method: DFT, PBE
State: relaxed

## Properties
Its symmetry is C2/m (12). The raw total energy is -23.1 eV for the cell shown. The crystal system is monoclinic. The calculation puts the energy above the lowest structure with this stoichiometry at 0.0 meV/atom. As for the density of states at the Fermi level: 1.39 states/eV per atom. The energy of formation from the pure elements is -162 kJ/mol of formula units.

Lattice parameters (Å, degrees): 11.191 11.191 8.272 104.78 104.78 30.64
Atoms (fractional coordinates):
Ba1 0.036 0.036 0.299
Ba2 0.208 0.208 0.829
Ba3 0.332 0.332 0.526
Ba4 0.409 0.409 0.059
Ba5 0.591 0.591 0.941
Ba6 0.668 0.668 0.474
Ba7 0.792 0.792 0.171
Ba8 0.964 0.964 0.701
Ag1 0.188 0.188 0.223
Ag2 0.812 0.812 0.777
Hg1 0.500 0.500 0.500



2.
Material: Ac2Al3Ge4
Method: DFT, PBE
State: relaxed

## Properties
Its symmetry is Cmce (64). The raw total energy is -83.8 eV for the cell shown. The crystal system is orthorhombic. As for the density of states at the Fermi level: 0.35 states/eV per atom. The energy of formation from the pure elements is -383 kJ/mol of formula units.

Lattice parameters (Å, degrees): 8.415 8.415 8.137 90.00 90.00 135.52
Atoms (fractional coordinates):
Ac1 0.113 0.887 0.914
Ac2 0.387 0.613 0.414
Ac3 0.613 0.387 0.586
Ac4 0.887 0.113 0.086
Al1 0.000 0.000 0.500
Al2 0.035 0.465 0.750
Al3 0.465 0.035 0.250
Al4 0.500 0.500 0.000
Al5 0.535 0.965 0.750
Al6 0.965 0.535 0.250
Ge1 0.188 0.812 0.548
Ge2 0.199 0.301 0.750
Ge3 0.301 0.199 0.250
Ge4 0.312 0.688 0.048
Ge5 0.688 0.312 0.952
Ge6 0.699 0.801 0.750
Ge7 0.801 0.699 0.250
Ge8 0.812 0.188 0.452



3.
Material: Na2SrCd2Bi2
Method: DFT, PBE
State: relaxed

## Properties
Its symmetry is R-3m (166). The raw total energy is -16.7 eV for the cell shown. The crystal system is trigonal. As for the density of states at the Fermi level: 0.09 states/eV per atom. The energy of formation from the pure elements is -268 kJ/mol of formula units.

Lattice parameters (Å, degrees): 9.696 9.696 9.696 30.43 30.43 30.43
Atoms (fractional coordinates):
Na1 0.143 0.143 0.143
Na2 0.857 0.857 0.857
Sr1 0.000 0.000 0.000
Cd1 0.446 0.446 0.446
Cd2 0.554 0.554 0.554
Bi1 0.262 0.262 0.262
Bi2 0.738 0.738 0.738



4.
Material: HgOsSe4
Method: DFT, PBE
State: relaxed

## Properties
Its symmetry is F-43m (216). The raw total energy is -17.7 eV for the cell shown. The crystal system is cubic. As for the density of states at the Fermi level: 1.11 states/eV per atom. The energy relative to the elements, uncorrected is 1.290 eV per atom.

Lattice parameters (Å, degrees): 5.658 5.658 5.658 60.00 60.00 60.00
Atoms (fractional coordinates):
Hg1 0.000 0.000 0.000
Os1 0.750 0.750 0.750
Se1 0.376 0.376 0.376
Se2 0.376 0.376 0.872
Se3 0.376 0.872 0.376
Se4 0.872 0.376 0.376



5.
Material: ZnCrPbW2
Method: DFT, PBE
State: relaxed

## Properties
Its symmetry is P4/mmm (123). The raw total energy is -31.4 eV for the cell shown. The crystal system is tetragonal. As for the density of states at the Fermi level: 1.47 states/eV per atom. The energy of formation from the pure elements is 882 kJ/mol of formula units.

Lattice parameters (Å, degrees): 4.643 4.643 4.412 90.00 90.00 90.00
Atoms (fractional coordinates):
Zn1 0.000 0.000 0.000
Cr1 0.000 0.000 0.500
Pb1 0.500 0.500 0.500
W1 0.000 0.500 0.000
W2 0.500 0.000 0.000



6.
Material: In2AuCl
Method: DFT, PBE
State: relaxed

## Properties
Its symmetry is C2/m (12). The raw total energy is -12.2 eV for the cell shown. The crystal system is monoclinic. The calculation puts the energy above the lowest structure with this stoichiometry at 31.9 meV/atom. As for the density of states at the Fermi level: 0.27 states/eV per atom. The energy relative to the elements, uncorrected is -0.406 eV per atom.

Lattice parameters (Å, degrees): 4.061 4.061 7.667 104.01 104.01 60.41
Atoms (fractional coordinates):
In1 0.232 0.232 0.218
In2 0.768 0.768 0.782
Au1 0.500 0.500 0.000
Cl1 0.000 0.000 0.500



Which of these has the lowest raw total energy? Ac2Al3Ge4